Hf2Mo2Os: optimized geometry, PBE.

Cell lengths 6.758, 6.758, 4.116 Å; angles 90.00, 90.00, 90.00 degrees
Sites, in units of the cell vectors:
Hf 0.152 0.348 0.000
Hf 0.348 0.848 0.000
Hf 0.652 0.152 0.000
Hf 0.848 0.652 0.000
Mo 0.161 0.661 0.500
Mo 0.339 0.161 0.500
Mo 0.661 0.839 0.500
Mo 0.839 0.339 0.500
Os 0.000 0.000 0.000
Os 0.500 0.500 0.000

Summary:
**Raw total energy**: -10.034 eV/atom
**D(E_F)**: 0.8545 states/eV/atom
**Formation energy**: 0.53 eV per atom

Hf2Mo2Os: optimized geometry, PBE.

Cell lengths 6.532, 6.532, 4.421 Å; angles 90.00, 90.00, 90.00 degrees
Sites, in units of the cell vectors:
Hf 0.176 0.324 0.000
Hf 0.324 0.824 0.000
Hf 0.676 0.176 0.000
Hf 0.824 0.676 0.000
Mo 0.139 0.639 0.500
Mo 0.361 0.139 0.500
Mo 0.639 0.861 0.500
Mo 0.861 0.361 0.500
Os 0.000 0.000 0.500
Os 0.500 0.500 0.500

Summary:
**Raw total energy**: -10.450 eV/atom
**D(E_F)**: 0.7853 states/eV/atom
**Formation energy**: 0.11 eV per atom

Hf3MoOs: optimized geometry, PBE.

Cell lengths 4.953, 4.953, 4.953 Å; angles 90.00, 90.00, 90.00 degrees
Sites, in units of the cell vectors:
Hf 0.000 0.000 0.500
Hf 0.000 0.500 0.000
Hf 0.500 0.000 0.000
Mo 0.500 0.500 0.500
Os 0.000 0.000 0.000

Summary:
**Raw total energy**: -9.539 eV/atom
**D(E_F)**: 1.0060 states/eV/atom
**Formation energy**: 0.84 eV per atom